(1)
## Li2Tb3Cd6 (PBE)

Data for crystalline Li2Tb3Cd6 at its relaxed geometry.

Cell: 4.4581 4.4581 13.6045 Å, 99.43 99.43 90.00°
Fractional positions:
Li 0.4541 0.4541 0.9082
Li 0.5459 0.5459 0.0918
Tb 0.0000 0.0000 0.0000
Tb 0.7967 0.7967 0.5934
Tb 0.2033 0.2033 0.4066
Cd 0.1008 0.6008 0.2016
Cd 0.6008 0.1008 0.2016
Cd 0.8992 0.3992 0.7984
Cd 0.3992 0.8992 0.7984
Cd 0.6783 0.6783 0.3566
Cd 0.3217 0.3217 0.6434

Output
Raw total energy in eV per atom: -2.28
Space group: No. 139

***

(2)
## Li12TbCd6 (PBE)

Data for crystalline Li12TbCd6 at its relaxed geometry.

Cell: 7.5311 7.5311 7.5311 Å, 101.10 101.10 101.10°
Fractional positions:
Li 0.8937 0.1063 0.5000
Li 0.8389 0.5660 0.5660
Li 0.5660 0.5660 0.8389
Li 0.4340 0.1611 0.4340
Li 0.4340 0.4340 0.1611
Li 0.1611 0.4340 0.4340
Li 0.1063 0.5000 0.8937
Li 0.5000 0.8937 0.1063
Li 0.1063 0.8937 0.5000
Li 0.8937 0.5000 0.1063
Li 0.5000 0.1063 0.8937
Li 0.5660 0.8389 0.5660
Tb 0.0000 0.0000 0.0000
Cd 0.7387 0.2382 0.2382
Cd 0.2382 0.2382 0.7387
Cd 0.2382 0.7387 0.2382
Cd 0.7618 0.7618 0.2613
Cd 0.2613 0.7618 0.7618
Cd 0.7618 0.2613 0.7618

Output
Raw total energy in eV per atom: -1.80
Space group: No. 166

***

(3)
## LiTb8Cd2 (PBE)

Data for crystalline LiTb8Cd2 at its relaxed geometry.

Cell: 5.3221 7.0020 9.3099 Å, 105.57 106.61 90.00°
Fractional positions:
Li 0.5000 0.0000 0.0000
Tb 0.4064 0.5429 0.8128
Tb 0.6612 0.9606 0.3225
Tb 0.8087 0.7176 0.6175
Tb 0.9765 0.2320 0.9529
Tb 0.1913 0.2824 0.3825
Tb 0.3388 0.0394 0.6775
Tb 0.5936 0.4571 0.1872
Tb 0.0235 0.7680 0.0471
Cd 0.8110 0.2875 0.6220
Cd 0.1890 0.7125 0.3780

Output
Raw total energy in eV per atom: -3.76
Space group: No. 12

***

(4)
## LiTbCd11 (PBE)

Data for crystalline LiTbCd11 at its relaxed geometry.

Cell: 5.8534 7.5762 7.5868 Å, 81.58 67.31 67.69°
Fractional positions:
Li 0.5000 0.5000 0.0000
Tb 0.0000 0.0000 0.0000
Cd 0.3006 0.2171 0.2085
Cd 0.6994 0.7829 0.7915
Cd 0.4910 0.7829 0.2085
Cd 0.5090 0.2171 0.7915
Cd 0.3564 0.6462 0.6577
Cd 0.6436 0.3538 0.3423
Cd 0.9859 0.3538 0.6577
Cd 0.0141 0.6462 0.3423
Cd 0.0000 0.5000 0.0000
Cd 0.5000 0.0000 0.5000
Cd 0.0000 0.0000 0.5000

Output
Raw total energy in eV per atom: -1.41
Space group: No. 12

***

(5)
## LiTbCd4 (PBE)

Data for crystalline LiTbCd4 at its relaxed geometry.

Cell: 3.1964 4.9780 8.7083 Å, 89.99 89.84 90.00°
Fractional positions:
Li 0.7515 0.9975 0.4984
Tb 0.7512 0.4972 0.9981
Cd 0.2501 0.9972 0.1714
Cd 0.2524 0.9973 0.8248
Cd 0.2547 0.4974 0.6584
Cd 0.2478 0.4972 0.3378

Output
Raw total energy in eV per atom: -1.93
Space group: No. 10

***

(6)
## LiTbCd2 (PBE)

Data for crystalline LiTbCd2 at its relaxed geometry.

Cell: 3.4546 3.4546 7.5226 Å, 90.00 90.00 90.00°
Last column: magnetic moment on the atom in μB.
Fractional positions:
Li 0.5000 0.5000 0.0000  0.00
Tb 0.5000 0.5000 0.5000  0.11
Cd 0.0000 0.0000 0.7888  0.00
Cd 0.0000 0.0000 0.2112  0.00

Output
Raw total energy in eV per atom: -2.36
Space group: No. 123

***

(7)
## LiTb2Cd2 (PBE)

Data for crystalline LiTb2Cd2 at its relaxed geometry.

Cell: 5.7211 7.1915 7.8303 Å, 117.34 111.43 90.00°
Fractional positions:
Li 0.7500 0.5000 0.0000
Li 0.2500 0.5000 0.0000
Tb 0.3133 0.6256 0.6265
Tb 0.6867 0.3744 0.3735
Tb 0.1867 0.9991 0.3735
Tb 0.8133 0.0009 0.6265
Cd 0.9303 0.7341 0.8605
Cd 0.0697 0.2659 0.1395
Cd 0.5697 0.8736 0.1395
Cd 0.4303 0.1264 0.8605

Output
Raw total energy in eV per atom: -2.70
Space group: No. 72

***

(8)
## LiTb6Cd5 (PBE)

Data for crystalline LiTb6Cd5 at its relaxed geometry.

Cell: 5.2900 7.5407 8.3661 Å, 90.00 71.57 90.00°
Fractional positions:
Cd 0.6664 0.5000 0.6672
Cd 0.3376 0.0000 0.3248
Cd 0.0000 0.5000 0.0000
Cd 0.6624 0.0000 0.6752
Cd 0.3336 0.5000 0.3328
Tb 0.8330 0.7519 0.3339
Tb 0.8331 0.2481 0.3339
Tb 0.5000 0.2507 0.0000
Tb 0.5000 0.7493 0.0000
Tb 0.1669 0.7519 0.6661
Tb 0.1669 0.2481 0.6661
Li 0.0000 0.0000 0.0000

Output
Raw total energy in eV per atom: -3.11
Space group: No. 65